The following is a DFT calculation (PBEsol) of a geometry-optimized CsNb2Au structure.

Properties
D(E_F) = 3.26 states/eV/cell
ΔE_f = 1.14 eV per atom
magnetic moment = 0.00 μB per cell
symmetry = Fm-3m
electronic total energy = -5.4836 eV/atom
crystal system = cubic

Unit cell a=4.782 b=4.782 c=4.782 alpha=60.00 beta=60.00 gamma=60.00
Fractional coordinates of all 4 atoms:
Cs  0.000  0.000  0.000
Nb  0.250  0.250  0.250
Nb  0.750  0.750  0.750
Au  0.500  0.500  0.500